Entry 1:
VASP calculation (PBE) on a relaxed structure of Li5Cd4Ag.

Cell: 3.3477 3.3477 15.8780 Å, 90.00 90.00 90.00°
Space group P4/mmm (No. 123)
Symmetry-distinct sites (fractional):
1 Li 0.0000 0.0000 0.0000
2 Li 0.0000 0.0000 0.2028
3 Li 0.0000 0.0000 0.4077
4 Cd 0.5000 0.5000 0.1011
5 Cd 0.5000 0.5000 0.3043
6 Ag 0.5000 0.5000 0.5000

Calculated values
E_form   -2.416 eV per formula unit
DFT total energy   -1.850 eV/atom
Calculated volume   17.8 Å³ per atom



Entry 2:
VASP calculation (PBE) on a relaxed structure of TaSbBr2.

Cell: 3.1528 3.1528 10.2091 Å, 90.00 90.00 90.00°
Space group P4mm (No. 99)
Symmetry-distinct sites (fractional):
1 Ta 0.0000 0.0000 0.0000
2 Sb 0.5000 0.5000 0.7961
3 Br 0.0000 0.0000 0.4772
4 Br 0.5000 0.5000 0.1648

Calculated values
E above lowest polymorph   345 meV per atom
DFT total energy   -4.809 eV/atom
Calculated volume   25.4 Å³ per atom